Model w:
Entry from the Alexandria database: Na2ReIr after structural relaxation (GGA-PBE).

abc: 4.6528 4.6528 4.6528
angles: 60.00 60.00 60.00
Positions (direct):
Na1 0.2500 0.2500 0.2500
Na2 0.7500 0.7500 0.7500
Re1 0.0000 0.0000 0.0000
Ir1 0.5000 0.5000 0.5000

Results
Spin magnetization: 3.54 μB/f.u.

---

Model x:
Entry from the Alexandria database: Na2ReIr after structural relaxation (GGA-PBE).

abc: 6.4644 6.4644 6.4644
angles: 98.21 98.21 135.59
Positions (direct):
Na1 0.0872 0.6250 0.9622
Na2 0.3750 0.3372 0.4622
Na3 0.6628 0.1250 0.0378
Na4 0.8750 0.9128 0.5378
Re1 0.2500 0.7500 0.5000
Re2 0.5000 0.5000 0.0000
Ir1 0.0000 0.0000 0.0000
Ir2 0.7500 0.2500 0.5000

Results
Spin magnetization: 2.66 μB/f.u.

---

model x is preferred energetically. Next in line: 232 meV/atom higher.

---

Model w:
Entry from the Alexandria database: NaIr2Rh2 after structural relaxation (GGA-PBE).

abc: 7.7473 7.7473 2.6936
angles: 90.00 90.00 90.00
Positions (direct):
Na1 0.0000 0.0000 0.0000
Na2 0.5000 0.5000 0.0000
Ir1 0.1769 0.3231 0.5000
Ir2 0.3231 0.8231 0.5000
Ir3 0.6769 0.1769 0.5000
Ir4 0.8231 0.6769 0.5000
Rh1 0.1198 0.6198 0.0000
Rh2 0.3802 0.1198 0.0000
Rh3 0.6198 0.8802 0.0000
Rh4 0.8802 0.3802 0.0000

Results
Spin magnetization: 0.00 μB/f.u.

---

Model x:
Entry from the Alexandria database: NaIr2Rh2 after structural relaxation (GGA-PBE).

abc: 7.7412 7.7412 2.7066
angles: 90.00 90.00 90.00
Positions (direct):
Na1 0.0000 0.0000 0.0000
Na2 0.5000 0.5000 0.0000
Ir1 0.1185 0.3815 0.0000
Ir2 0.3815 0.8815 0.0000
Ir3 0.6185 0.1185 0.0000
Ir4 0.8815 0.6185 0.0000
Rh1 0.1786 0.6786 0.5000
Rh2 0.3214 0.1786 0.5000
Rh3 0.6786 0.8214 0.5000
Rh4 0.8214 0.3214 0.5000

Results
Spin magnetization: 0.00 μB/f.u.

---

model x is preferred energetically. Next in line: 41 meV/atom higher.

---

Model w:
Entry from the Alexandria database: NaIr3Rh after structural relaxation (GGA-PBE).

abc: 4.7751 4.7751 4.7751
angles: 90.00 90.00 90.00
Positions (direct):
Na1 0.0000 0.0000 0.0000
Ir1 0.0000 0.5000 0.5000
Ir2 0.5000 0.0000 0.5000
Ir3 0.5000 0.5000 0.0000
Rh1 0.5000 0.5000 0.5000

Results
Spin magnetization: 0.70 μB/f.u.

---

Model x:
Entry from the Alexandria database: NaIr3Rh after structural relaxation (GGA-PBE).

abc: 4.4051 4.4051 4.4051
angles: 90.00 90.00 90.00
Positions (direct):
Na1 0.0000 0.0000 0.0000
Ir1 0.0000 0.0000 0.5000
Ir2 0.0000 0.5000 0.0000
Ir3 0.5000 0.0000 0.0000
Rh1 0.5000 0.5000 0.5000

Results
Spin magnetization: 0.00 μB/f.u.

---

model w is preferred energetically. Next in line: 794 meV/atom higher.

---

Model w:
Entry from the Alexandria database: NaIr2Rh after structural relaxation (GGA-PBE).

abc: 4.4028 4.4028 4.4028
angles: 60.00 60.00 60.00
Positions (direct):
Na1 0.0000 0.0000 0.0000
Ir1 0.2500 0.2500 0.2500
Ir2 0.7500 0.7500 0.7500
Rh1 0.5000 0.5000 0.5000

Results
Spin magnetization: 0.00 μB/f.u.

---

Model x:
Entry from the Alexandria database: NaIr2Rh after structural relaxation (GGA-PBE).

abc: 5.9141 5.9141 5.9141
angles: 100.13 100.13 130.40
Positions (direct):
Na1 0.0000 0.0000 0.0000
Na2 0.7500 0.2500 0.5000
Ir1 0.1785 0.6250 0.0535
Ir2 0.3750 0.4285 0.5535
Ir3 0.5715 0.1250 0.9465
Ir4 0.8750 0.8215 0.4465
Rh1 0.2500 0.7500 0.5000
Rh2 0.5000 0.5000 0.0000

Results
Spin magnetization: 0.00 μB/f.u.

---

model w is preferred energetically. Next in line: 106 meV/atom higher.

---

Model w:
Entry from the Alexandria database: Na2IrRh after structural relaxation (GGA-PBE).

abc: 6.1618 6.1618 6.1618
angles: 99.10 99.10 133.14
Positions (direct):
Na1 0.1212 0.1250 0.4962
Na2 0.3750 0.8788 0.0038
Na3 0.6288 0.6250 0.5038
Na4 0.8750 0.3712 0.9962
Ir1 0.2500 0.7500 0.5000
Ir2 0.5000 0.5000 0.0000
Rh1 0.0000 0.0000 0.0000
Rh2 0.7500 0.2500 0.5000

Results
Spin magnetization: 0.00 μB/f.u.

---

Model x:
Entry from the Alexandria database: Na2IrRh after structural relaxation (GGA-PBE).

abc: 4.5993 4.5993 4.5993
angles: 60.00 60.00 60.00
Positions (direct):
Na1 0.2500 0.2500 0.2500
Na2 0.7500 0.7500 0.7500
Ir1 0.0000 0.0000 0.0000
Rh1 0.5000 0.5000 0.5000

Results
Spin magnetization: 0.97 μB/f.u.

---

model w is preferred energetically. Next in line: 96 meV/atom higher.

---

Model w:
Entry from the Alexandria database: NaIr2Ru2 after structural relaxation (GGA-PBE).

abc: 7.6829 7.6829 2.7187
angles: 90.00 90.00 90.00
Positions (direct):
Na1 0.0000 0.0000 0.0000
Na2 0.5000 0.5000 0.0000
Ir1 0.1217 0.3783 0.0000
Ir2 0.3783 0.8783 0.0000
Ir3 0.6217 0.1217 0.0000
Ir4 0.8783 0.6217 0.0000
Ru1 0.1723 0.6723 0.5000
Ru2 0.3277 0.1723 0.5000
Ru3 0.6723 0.8277 0.5000
Ru4 0.8277 0.3277 0.5000

Results
Spin magnetization: 0.00 μB/f.u.

---

Model x:
Entry from the Alexandria database: NaIr2Ru2 after structural relaxation (GGA-PBE).

abc: 7.6747 7.6747 2.7159
angles: 90.00 90.00 90.00
Positions (direct):
Na1 0.0000 0.0000 0.0000
Na2 0.5000 0.5000 0.0000
Ir1 0.1733 0.3267 0.5000
Ir2 0.3267 0.8267 0.5000
Ir3 0.6733 0.1733 0.5000
Ir4 0.8267 0.6733 0.5000
Ru1 0.1201 0.6201 0.0000
Ru2 0.3799 0.1201 0.0000
Ru3 0.6201 0.8799 0.0000
Ru4 0.8799 0.3799 0.0000

Results
Spin magnetization: 0.00 μB/f.u.

---

model x is preferred energetically. Next in line: 26 meV/atom higher.

---

Model w:
Entry from the Alexandria database: NaIr2Ru after structural relaxation (GGA-PBE).

abc: 4.4050 4.4050 4.4050
angles: 60.00 60.00 60.00
Positions (direct):
Na1 0.0000 0.0000 0.0000
Ir1 0.2500 0.2500 0.2500
Ir2 0.7500 0.7500 0.7500
Ru1 0.5000 0.5000 0.5000

Results
Spin magnetization: 1.68 μB/f.u.

---

Model x:
Entry from the Alexandria database: NaIr2Ru after structural relaxation (GGA-PBE).

abc: 5.8512 5.8512 5.8512
angles: 101.25 101.25 127.57
Positions (direct):
Na1 0.0000 0.0000 0.0000
Na2 0.7500 0.2500 0.5000
Ir1 0.1792 0.6250 0.0542
Ir2 0.3750 0.4292 0.5542
Ir3 0.5708 0.1250 0.9458
Ir4 0.8750 0.8208 0.4458
Ru1 0.2500 0.7500 0.5000
Ru2 0.5000 0.5000 0.0000

Results
Spin magnetization: 0.00 μB/f.u.

---

model w is preferred energetically. Next in line: 139 meV/atom higher.

---

Model w:
Entry from the Alexandria database: NaIr3S after structural relaxation (GGA-PBE).

abc: 4.4339 4.4339 4.4339
angles: 90.00 90.00 90.00
Positions (direct):
Na1 0.0000 0.0000 0.0000
Ir1 0.0000 0.5000 0.5000
Ir2 0.5000 0.0000 0.5000
Ir3 0.5000 0.5000 0.0000
S1 0.5000 0.5000 0.5000

Results
Spin magnetization: 0.00 μB/f.u.

---

Model x:
Entry from the Alexandria database: NaIr3S after structural relaxation (GGA-PBE).

abc: 4.5317 4.5317 4.5317
angles: 90.00 90.00 90.00
Positions (direct):
Na1 0.0000 0.0000 0.0000
Ir1 0.0000 0.0000 0.5000
Ir2 0.0000 0.5000 0.0000
Ir3 0.5000 0.0000 0.0000
S1 0.5000 0.5000 0.5000

Results
Spin magnetization: 0.00 μB/f.u.

---

model w is preferred energetically. Next in line: 2092 meV/atom higher.